[1]
Nd3GaRu GGA-PBE optimized geometry; energy relative to the elements = -0.3095 eV/atom; E above lowest polymorph = 31 meV per atom; spin magnetization = 0.0 μB per cell; calculated volume = 271 Å³ per cell; total energy = -5.6308 eV per atom
1.0
7.364 -2.347 0.000
7.364 2.347 0.000
-0.935 0.000 7.847
Nd Ga Ru
6 2 2
Direct
0.044 0.044 0.288 Nd
0.237 0.237 0.683 Nd
0.381 0.381 0.069 Nd
0.619 0.619 0.931 Nd
0.763 0.763 0.317 Nd
0.956 0.956 0.712 Nd
0.410 0.410 0.461 Ga
0.590 0.590 0.539 Ga
0.195 0.195 0.091 Ru
0.805 0.805 0.909 Ru

=====

[2]
Nb8Ga2Os GGA-PBE optimized geometry; energy relative to the elements = -0.1635 eV/atom; spin magnetization = 0.0 μB per cell; calculated volume = 192 Å³ per cell; total energy = -9.0582 eV per atom
1.0
6.822 -2.288 0.000
6.822 2.288 0.000
-3.623 0.000 6.147
Nb Ga Os
8 2 1
Direct
0.037 0.037 0.222 Nb
0.137 0.137 0.681 Nb
0.325 0.325 0.607 Nb
0.403 0.403 0.069 Nb
0.597 0.597 0.931 Nb
0.675 0.675 0.393 Nb
0.863 0.863 0.319 Nb
0.963 0.963 0.778 Nb
0.215 0.215 0.152 Ga
0.785 0.785 0.848 Ga
0.500 0.500 0.500 Os

=====

[3]
BaTlSnSe GGA-PBE optimized geometry; E above lowest polymorph = 0 meV per atom; spin magnetization = 0.0 μB per cell; calculated volume = 139 Å³ per cell; total energy = -3.6975 eV per atom
1.0
4.552 0.000 0.000
0.005 4.585 0.000
2.229 2.223 6.654
Ba Tl Sn Se
1 1 1 1
Direct
0.000 0.000 0.000 Ba
0.259 0.265 0.462 Tl
0.705 0.711 0.567 Sn
0.499 0.499 0.002 Se

=====

[4]
LiCd3Pd12 GGA-PBE optimized geometry; energy relative to the elements = -0.2320 eV/atom; spin magnetization = 0.0 μB per cell; calculated volume = 256 Å³ per cell; total energy = -4.4178 eV per atom
1.0
4.019 0.000 0.000
0.000 4.019 0.000
0.000 0.000 15.819
Li Cd Pd
1 3 12
Direct
0.000 0.000 0.000 Li
0.000 0.000 0.245 Cd
0.000 0.000 0.500 Cd
0.000 0.000 0.755 Cd
0.000 0.500 0.117 Pd
0.000 0.500 0.372 Pd
0.000 0.500 0.628 Pd
0.000 0.500 0.883 Pd
0.500 0.000 0.117 Pd
0.500 0.000 0.372 Pd
0.500 0.000 0.628 Pd
0.500 0.000 0.883 Pd
0.500 0.500 0.000 Pd
0.500 0.500 0.243 Pd
0.500 0.500 0.500 Pd
0.500 0.500 0.757 Pd

=====

[5]
CdIF2 GGA-PBE optimized geometry; E above lowest polymorph = 723 meV per atom; spin magnetization = 4.0 μB per cell; calculated volume = 285 Å³ per cell; total energy = -2.3317 eV per atom
1.0
6.582 0.000 0.000
0.000 6.582 0.000
0.000 0.000 6.582
Cd I F
4 4 8
Direct
0.000 0.000 0.000 Cd
0.000 0.500 0.500 Cd
0.500 0.000 0.500 Cd
0.500 0.500 0.000 Cd
0.000 0.000 0.500 I
0.000 0.500 0.000 I
0.500 0.000 0.000 I
0.500 0.500 0.500 I
0.250 0.250 0.250 F
0.250 0.250 0.750 F
0.250 0.750 0.250 F
0.250 0.750 0.750 F
0.750 0.250 0.250 F
0.750 0.250 0.750 F
0.750 0.750 0.250 F
0.750 0.750 0.750 F

=====

[6]
Ca3Hf2TaN6 GGA-PBE optimized geometry; spin magnetization = 0.0 μB per cell; calculated volume = 154 Å³ per cell; total energy = -8.7990 eV per atom
1.0
7.294 -1.626 0.000
7.294 1.626 0.000
-1.862 0.000 6.473
Ca Hf Ta N
3 2 1 6
Direct
0.000 0.000 0.000 Ca
0.334 0.334 0.666 Ca
0.666 0.666 0.334 Ca
0.334 0.334 0.166 Hf
0.666 0.666 0.834 Hf
0.000 0.000 0.500 Ta
0.154 0.154 0.598 N
0.175 0.175 0.063 N
0.494 0.494 0.277 N
0.506 0.506 0.723 N
0.825 0.825 0.937 N
0.846 0.846 0.402 N

=====

[7]
CsLa2CdPd GGA-PBE optimized geometry; energy relative to the elements = 0.7129 eV/atom; spin magnetization = 0.5 μB per cell; calculated volume = 235 Å³ per cell; total energy = -2.6503 eV per atom
1.0
5.990 0.000 0.000
0.000 5.990 0.000
0.000 0.000 6.563
Cs La Cd Pd
1 2 1 1
Direct
0.000 0.000 0.000 Cs
0.000 0.500 0.500 La
0.500 0.000 0.500 La
0.000 0.000 0.500 Cd
0.500 0.500 0.000 Pd

=====

[8]
K3SrB GGA-PBE optimized geometry; energy relative to the elements = 1.5343 eV/atom; E above lowest polymorph = 710 meV per atom; spin magnetization = 1.0 μB per cell; calculated volume = 495 Å³ per cell; total energy = -0.7960 eV per atom
1.0
7.913 0.000 0.000
0.000 7.913 0.000
0.000 0.000 7.913
K Sr B
3 1 1
Direct
0.000 0.000 0.500 K
0.000 0.500 0.000 K
0.500 0.000 0.000 K
0.000 0.000 0.000 Sr
0.500 0.500 0.500 B

=====

What are the ρ values for these records? In order: 7391, 9283, 6450, 10536, 6460, 8027, 4440, 723 kg/m3.